! CaZrMo2, relaxed, DFT PBE; values from VASP
&SYSTEM
  ibrav = 0, nat = 4, ntyp = 3
/
ATOMIC_SPECIES
Mo 95.94 Mo.upf
Ca 40.08 Ca.upf
Zr 91.22 Zr.upf
ATOMIC_POSITIONS crystal
Mo 0.011 0.011 0.027
Mo 0.236 0.236 0.239
Ca 0.754 0.754 0.760
Zr 0.499 0.499 0.474
CELL_PARAMETERS angstrom
-4.566 -1.221 2.137
-2.672 -1.800 4.065
-0.288 5.545 1.950
! Density ... 6.60 Mg/m³
! Symmetry ... Cm, No. 8
! Formation enthalpy at 0 K ... 0.57 eV/atom
! Energy ... -7.481 eV per atom
! DOS at the Fermi energy ... 0.793 states/eV/atom
! Magnetization ... 0.0 μB/cell
! Energy above the lowest structure with this stoichiometry ... 294 meV/atom